# 1
Computed, not measured: an optimized crystal structure of Fe2Sb3Os at the PBE level of DFT.

Values from the calculation:
SG = No. 164

Cell: 3.2232 3.2232 11.1772 Å, 90.00 90.00 120.00°
With the nearest neighbours (Å) after each atom.
Sites, in units of the cell vectors:
Fe 0.3333 0.6667 0.8394  6 Sb 2.59
Fe 0.6667 0.3333 0.1606  6 Sb 2.59
Sb 0.6667 0.3333 0.6785  3 Fe 2.59, 3 Os 2.73
Sb 0.0000 0.0000 0.0000  6 Fe 2.59
Sb 0.3333 0.6667 0.3215  3 Fe 2.59, 3 Os 2.73
Os 0.0000 0.0000 0.5000  6 Sb 2.73

***

# 2
Computed, not measured: an optimized crystal structure of LaBPd at the PBE level of DFT.

Values from the calculation:
SG = No. 216
Distance to the lowest polymorph of the same formula = 387.8 meV/atom

Cell: 4.6344 4.6344 4.6344 Å, 60.00 60.00 60.00°
With the nearest neighbours (Å) after each atom.
Sites, in units of the cell vectors:
B 0.2500 0.2500 0.2500  4 La 2.84
Pd 0.7500 0.7500 0.7500  4 La 2.84
La 0.0000 0.0000 0.0000  4 B 2.84, 4 Pd 2.84

***

# 3
Computed, not measured: an optimized crystal structure of Ta4GaCoC2 at the PBE level of DFT.

Values from the calculation:
SG = No. 187

Cell: 3.0990 3.0990 13.2937 Å, 90.00 90.00 120.00°
With the nearest neighbours (Å) after each atom.
Sites, in units of the cell vectors:
C 0.0000 0.0000 0.2409  6 Ta 2.19
C 0.0000 0.0000 0.7591  6 Ta 2.19
Ta 0.6667 0.3333 0.1456  3 C 2.19
Ta 0.3333 0.6667 0.3357  3 C 2.19
Ta 0.3333 0.6667 0.6643  3 C 2.19
Ta 0.6667 0.3333 0.8544  3 C 2.19
Co 0.3333 0.6667 0.0000  6 Ta 2.64
Ga 0.6667 0.3333 0.5000  6 Ta 2.82, 6 Ga 3.10

***

# 4
Computed, not measured: an optimized crystal structure of Tb5PmIn6 at the PBE level of DFT.

Values from the calculation:
SG = No. 12

Cell: 9.2656 9.2656 5.3542 Å, 106.76 106.76 120.30°
With the nearest neighbours (Å) after each atom.
Sites, in units of the cell vectors:
Tb 0.3327 0.6673 0.0000  8 In 3.25-3.26
Tb 0.8353 0.1647 0.5000  8 In 3.26-3.29
Tb 0.6673 0.3327 0.0000  8 In 3.25-3.26
Tb 0.1647 0.8353 0.5000  8 In 3.26-3.29
Tb 0.5000 0.5000 0.5000  8 In 3.24-3.28
In 0.7440 0.7440 0.2443  6 Tb 3.24-3.27, 2 Pm 3.30
In 0.4214 0.0847 0.2529  7 Tb 3.25-3.29, 1 Pm 3.31
In 0.0847 0.4214 0.2529  7 Tb 3.25-3.29, 1 Pm 3.31
In 0.5786 0.9153 0.7471  7 Tb 3.25-3.29, 1 Pm 3.31
In 0.9153 0.5786 0.7471  7 Tb 3.25-3.29, 1 Pm 3.31
In 0.2560 0.2560 0.7557  6 Tb 3.24-3.27, 2 Pm 3.30
Pm 0.0000 0.0000 0.0000  8 In 3.30-3.31

***

# 5
Computed, not measured: an optimized crystal structure of LaHoBr3N at the PBE level of DFT.

Values from the calculation:
SG = No. 12
Distance to the lowest polymorph of the same formula = 0.0 meV/atom

Cell: 9.1328 9.1328 11.5424 Å, 121.08 121.08 25.36°
With the nearest neighbours (Å) after each atom.
Sites, in units of the cell vectors:
N 0.5705 0.5705 0.1481  2 Ho 2.23-2.24, 2 La 2.43
N 0.4295 0.4295 0.8519  2 Ho 2.23-2.24, 2 La 2.43
Br 0.6614 0.6614 0.5138  3 La 3.12-3.14
Br 0.3386 0.3386 0.4862  3 La 3.12-3.14
Br 0.0507 0.0507 0.7582  2 Ho 2.91, 1 La 3.06
Br 0.9493 0.9493 0.2418  2 Ho 2.91, 1 La 3.06
Br 0.2146 0.2146 0.1081  2 Ho 2.92, 1 La 3.06
Br 0.7854 0.7854 0.8919  2 Ho 2.92, 1 La 3.06
La 0.8659 0.8659 0.7143  2 N 2.43
La 0.1341 0.1341 0.2857  2 N 2.43
Ho 0.5767 0.5767 0.9593  2 N 2.23-2.24
Ho 0.4233 0.4233 0.0407  2 N 2.23-2.24

***

# 6
Computed, not measured: an optimized crystal structure of HfIrOs at the PBE level of DFT.

Values from the calculation:
SG = No. 216
Distance to the lowest polymorph of the same formula = 225.3 meV/atom

Cell: 4.3329 4.3329 4.3329 Å, 60.00 60.00 60.00°
With the nearest neighbours (Å) after each atom.
Sites, in units of the cell vectors:
Hf 0.0000 0.0000 0.0000  4 Ir 2.65, 4 Os 2.65
Ir 0.2500 0.2500 0.2500  4 Hf 2.65
Os 0.7500 0.7500 0.7500  4 Hf 2.65

***

| no. | calculated volume (A^3/atom) | calculated total energy (eV per cell) |
| --- | --- | --- |
| 1 | 16.76 | -37.31 |
| 2 | 23.46 | -14.65 |
| 3 | 13.82 | -79.35 |
| 4 | 26.96 | -50.06 |
| 5 | 29.16 | -68.50 |
| 6 | 19.17 | -29.04 |